Entry 1:
Here is PaAsO4 after structural relaxation from the Alexandria database. Energies are from GGA-PBE.

Calculated values
formation energy without anion corrections	-2.399	eV/atom
D(E_F)	0.000	states/eV per atom

a b c (Å): 5.331 5.331 10.949
angles (deg): 90.00 90.00 90.00
Space group I4_1/a (No. 88, origin choice 2)
One atom of each set of equivalent atoms:
Pa: 0.000 0.250 0.125 (multiplicity 4)
As: 0.000 0.250 0.625 (multiplicity 4)
O: 0.198 0.020 0.282 (multiplicity 16)



Entry 2:
Here is V5Ni12Ge2 after structural relaxation from the Alexandria database. Energies are from GGA-PBE.

Calculated values
D(E_F)	1.062	states/eV per atom
ΔH_f (0 K)	-0.100	eV per atom

a b c (Å): 11.719 7.920 4.934
angles (deg): 90.00 96.67 90.00
Space group C2/m (No. 12)
One atom of each set of equivalent atoms:
V: 0.000 0.000 0.000 (multiplicity 2)
V: 0.174 0.500 0.392 (multiplicity 4)
V: 0.226 0.000 0.035 (multiplicity 4)
Ni: 0.054 0.500 0.780 (multiplicity 4)
Ni: 0.101 0.264 0.106 (multiplicity 8)
Ni: 0.114 0.000 0.454 (multiplicity 4)
Ni: 0.199 0.251 0.701 (multiplicity 8)
Ge: 0.000 0.250 0.500 (multiplicity 4)